[1]
Entry from Alexandria via LeMat-Bulk: a geometry-optimized NpZn4Rh2 structure (PBE).

## Properties
Size of the total moment   3.53 μB per formula unit
Calculated volume   16.78 Å³ per atom
Total energy   -0.1822 Ha/atom
Energy of formation   -282 meV per atom

abc: 4.397 7.309 7.309
angles: 90.00 90.00 90.00
Site moments in Bohr magnetons follow the coordinates.
Element x y z (fractional)
Np: 0.500 0.000 0.000  3.54
Np: 0.000 0.500 0.500  3.54
Zn: 0.000 0.091 0.349  0.00
Zn: 0.000 0.909 0.651  0.00
Zn: 0.500 0.151 0.591  0.00
Zn: 0.500 0.849 0.409  0.00
Zn: 0.500 0.409 0.849  0.00
Zn: 0.500 0.591 0.151  0.00
Zn: 0.000 0.349 0.091  0.00
Zn: 0.000 0.651 0.909  0.00
Rh: 0.000 0.252 0.748  -0.15
Rh: 0.000 0.748 0.252  -0.15
Rh: 0.500 0.752 0.752  -0.15
Rh: 0.500 0.248 0.248  -0.15

[2]
Entry from Alexandria via LeMat-Bulk: a geometry-optimized Zr2NpRh structure (PBE).

## Properties
Size of the total moment   3.95 μB per formula unit
Calculated volume   19.73 Å³ per atom
Total energy   -0.3466 Ha/atom
Energy of formation   -83 meV per atom

abc: 3.155 5.001 5.001
angles: 90.00 90.00 90.00
Site moments in Bohr magnetons follow the coordinates.
Element x y z (fractional)
Np: 0.500 0.500 0.500  3.48
Rh: 0.500 0.000 0.000  0.05
Zr: 0.000 0.000 0.500  0.10
Zr: 0.000 0.500 0.000  0.10

[3]
Entry from Alexandria via LeMat-Bulk: a geometry-optimized Zr2NpRh structure (PBE).

## Properties
Size of the total moment   3.81 μB per formula unit
Calculated volume   19.78 Å³ per atom
Total energy   -0.3401 Ha/atom
Energy of formation   91 meV per atom

abc: 4.818 4.818 4.818
angles: 60.00 60.00 60.00
Site moments in Bohr magnetons follow the coordinates.
Element x y z (fractional)
Np: 0.000 0.000 0.000  3.56
Rh: 0.500 0.500 0.500  -0.03
Zr: 0.250 0.250 0.250  0.10
Zr: 0.750 0.750 0.750  0.10

[4]
Entry from Alexandria via LeMat-Bulk: a geometry-optimized ZrNpRh structure (PBE).

## Properties
Size of the total moment   0.77 μB per formula unit
Calculated volume   20.44 Å³ per atom
Total energy   -0.3591 Ha/atom
Energy of formation   -159 meV per atom

abc: 3.455 5.322 13.336
angles: 90.00 90.00 90.00
Site moments in Bohr magnetons follow the coordinates.
Element x y z (fractional)
Zr: 0.750 0.095 0.711  -0.01
Zr: 0.250 0.595 0.789  -0.01
Zr: 0.250 0.905 0.289  -0.01
Zr: 0.750 0.405 0.211  -0.01
Np: 0.750 0.157 0.497  0.78
Np: 0.250 0.657 0.003  0.78
Np: 0.250 0.843 0.503  0.78
Np: 0.750 0.343 0.997  0.78
Rh: 0.750 0.589 0.635  0.00
Rh: 0.250 0.089 0.865  0.00
Rh: 0.250 0.411 0.365  0.00
Rh: 0.750 0.911 0.135  0.00

[5]
Entry from Alexandria via LeMat-Bulk: a geometry-optimized Zr2NpRh structure (PBE).

## Properties
Size of the total moment   3.86 μB per formula unit
Calculated volume   20.50 Å³ per atom
Total energy   -0.3502 Ha/atom
Energy of formation   -183 meV per atom

abc: 3.248 3.248 7.772
angles: 90.00 90.00 90.00
Site moments in Bohr magnetons follow the coordinates.
Element x y z (fractional)
Np: 0.500 0.500 0.500  3.57
Rh: 0.500 0.500 0.000  -0.03
Zr: 0.000 0.000 0.782  0.03
Zr: 0.000 0.000 0.218  0.03

[6]
Entry from Alexandria via LeMat-Bulk: a geometry-optimized Np3Ru2 structure (PBE).

## Properties
Size of the total moment   0.01 μB per formula unit
Calculated volume   16.87 Å³ per atom
Total energy   -0.4223 Ha/atom
Energy of formation   -17 meV per atom

abc: 4.570 5.403 7.810
angles: 103.67 90.00 115.02
Element x y z (fractional)
Np: 0.665 0.330 0.583
Np: 0.726 0.452 0.278
Np: 0.274 0.548 0.722
Np: 0.335 0.670 0.417
Np: 0.544 0.088 0.829
Np: 0.456 0.912 0.171
Ru: 0.852 0.704 0.977
Ru: 0.148 0.296 0.023
Ru: 0.963 0.925 0.653
Ru: 0.037 0.075 0.347

[7]
Entry from Alexandria via LeMat-Bulk: a geometry-optimized NpRu3 structure (PBE).

## Properties
Size of the total moment   1.64 μB per formula unit
Calculated volume   15.86 Å³ per atom
Total energy   -0.3719 Ha/atom
Energy of formation   71 meV per atom

abc: 2.913 4.534 4.805
angles: 90.00 90.00 90.00
Site moments in Bohr magnetons follow the coordinates.
Element x y z (fractional)
Np: 0.000 0.000 0.977  2.26
Ru: 0.000 0.500 0.351  -0.12
Ru: 0.500 0.000 0.475  -0.23
Ru: 0.500 0.500 0.863  -0.30

[8]
Entry from Alexandria via LeMat-Bulk: a geometry-optimized NpRu3 structure (PBE).

## Properties
Size of the total moment   0.94 μB per formula unit
Calculated volume   15.86 Å³ per atom
Total energy   -0.3731 Ha/atom
Energy of formation   41 meV per atom

abc: 4.010 4.010 4.860
angles: 114.37 114.37 90.00
Site moments in Bohr magnetons follow the coordinates.
Element x y z (fractional)
Np: 0.000 0.000 0.000  1.80
Ru: 0.750 0.250 0.500  -0.30
Ru: 0.250 0.750 0.500  -0.30
Ru: 0.500 0.500 0.000  -0.29